A plane-wave DFT calculation with PBE+U was carried out for a relaxed AcUNiO6 crystal.

a = 5.1799 Å, b = 5.1799 Å, c = 10.2487 Å
α = 90.00°, β = 90.00°, γ = 90.00°
Closest atoms and distances in Å follow each position.
Element x y z (fractional)
O  0.2002  0.7998  0.8039  1 U 2.04, 1 Ni 2.22
O  0.3313  0.3313  0.0012  1 U 2.09, 1 Ni 2.12
Ni  0.5000  0.5000  0.8337  6 O 2.12-2.22
Ni  0.0000  0.0000  0.3337  6 O 2.12-2.22
O  0.7998  0.2002  0.8039  1 U 2.04, 1 Ni 2.22
O  0.2998  0.2998  0.3039  1 U 2.04, 1 Ni 2.22
O  0.7110  0.7110  0.6907  1 Ni 2.13, 1 U 2.13
O  0.6687  0.6687  0.0012  1 U 2.09, 1 Ni 2.12
O  0.8313  0.1687  0.5012  1 U 2.09, 1 Ni 2.12
O  0.2890  0.2890  0.6907  1 Ni 2.13, 1 U 2.13
O  0.1687  0.8313  0.5012  1 U 2.09, 1 Ni 2.12
Ac  0.5000  0.5000  0.5090  6 O 2.42-2.56
O  0.2110  0.7890  0.1907  1 Ni 2.13, 1 U 2.13
Ac  0.0000  0.0000  0.0090  6 O 2.42-2.56
U  0.0000  0.0000  0.6657  6 O 2.04-2.13
O  0.7002  0.7002  0.3039  1 U 2.04, 1 Ni 2.22
O  0.7890  0.2110  0.1907  1 Ni 2.13, 1 U 2.13
U  0.5000  0.5000  0.1657  6 O 2.04-2.13

Final energy   -0.5671 Ry per atom
N(E_F)   7.90 states/eV/f.u.
SG   P4_2nm